Record 1
A plane-wave DFT calculation with PBE-GGA was carried out for a relaxed structure of Tl2CdSn.

a b c (Å): 3.4523 3.4523 33.0050
angles (deg): 90.00 90.00 120.00
Space group R3m (No. 160, hexagonal axes)
Inequivalent atoms, fractional coordinates:
Tl 0.0000 0.0000 0.0000 (multiplicity 3)
Tl 0.0000 0.0000 0.1690 (multiplicity 3)
Cd 0.0000 0.0000 0.5845 (multiplicity 3)
Sn 0.0000 0.0000 0.7514 (multiplicity 3)

Properties
The relative energy among the computed polymorphs is 28 meV/atom. Its formation energy is 51 meV/atom. The total energy is -2.36 eV/atom.


Record 2
A plane-wave DFT calculation with PBE-GGA was carried out for a relaxed structure of Tl2Cd2Sn.

a b c (Å): 10.9438 5.3788 9.6941
angles (deg): 90.00 103.30 90.00
Space group C2/m (No. 12)
Inequivalent atoms, fractional coordinates:
Tl 0.0679 0.0000 0.3560 (multiplicity 4)
Tl 0.1620 0.0000 0.0378 (multiplicity 4)
Cd 0.0309 0.5000 0.8542 (multiplicity 4)
Cd 0.1339 0.5000 0.5807 (multiplicity 4)
Sn 0.2449 0.0000 0.7192 (multiplicity 4)

Properties
The relative energy among the computed polymorphs is 0 meV/atom. Its formation energy is 50 meV/atom. The total energy is -2.06 eV/atom.


Record 3
A plane-wave DFT calculation with PBE-GGA was carried out for a relaxed structure of TlCd11Sn.

a b c (Å): 6.2044 14.1868 7.8685
angles (deg): 90.00 111.08 90.00
Space group C2/m (No. 12)
Inequivalent atoms, fractional coordinates:
Tl 0.0000 0.0000 0.0000 (multiplicity 2)
Cd 0.0000 0.5000 0.5000 (multiplicity 2)
Cd 0.0954 0.3920 0.2103 (multiplicity 8)
Cd 0.1821 0.1793 0.3493 (multiplicity 8)
Cd 0.2500 0.2500 0.0000 (multiplicity 4)
Sn 0.0000 0.0000 0.5000 (multiplicity 2)

Properties
Its formation energy is 48 meV/atom. The total energy is -1.22 eV/atom.


Record 4
A plane-wave DFT calculation with PBE-GGA was carried out for a relaxed structure of Tl3CdSn.

a b c (Å): 7.6082 7.0625 11.3433
angles (deg): 90.00 92.83 90.00
Space group P2/c (No. 13)
Inequivalent atoms, fractional coordinates:
Tl 0.0547 0.1988 0.0859 (multiplicity 4)
Tl 0.1907 0.4082 0.8412 (multiplicity 4)
Tl 0.3476 0.1992 0.5884 (multiplicity 4)
Cd 0.4247 0.3778 0.1206 (multiplicity 4)
Sn 0.3072 0.0579 0.3166 (multiplicity 4)

Properties
The relative energy among the computed polymorphs is 32 meV/atom. Its formation energy is 68 meV/atom. The total energy is -2.34 eV/atom.


Record 5
A plane-wave DFT calculation with PBE-GGA was carried out for a relaxed structure of Tl4CdSn.

a b c (Å): 9.1011 9.1011 9.1011
angles (deg): 90.00 90.00 90.00
Space group F-43m (No. 216)
Inequivalent atoms, fractional coordinates:
Tl 0.1253 0.1253 0.1253 (multiplicity 16)
Cd 0.2500 0.2500 0.7500 (multiplicity 4)
Sn 0.0000 0.0000 0.5000 (multiplicity 4)

Properties
The relative energy among the computed polymorphs is 138 meV/atom. Its formation energy is 183 meV/atom. The total energy is -2.21 eV/atom.


Record 6
A plane-wave DFT calculation with PBE-GGA was carried out for a relaxed structure of Tl5Cd2Sn2.

a b c (Å): 22.3096 8.6266 5.4956
angles (deg): 90.00 90.00 90.00
Space group Ima2 (No. 46)
Inequivalent atoms, fractional coordinates:
Tl 0.1150 0.1465 0.0000 (multiplicity 8)
Tl 0.1480 0.6095 0.0227 (multiplicity 8)
Tl 0.2500 0.5838 0.5257 (multiplicity 4)
Cd 0.0345 0.6559 0.6535 (multiplicity 8)
Sn 0.0000 0.0000 0.6485 (multiplicity 4)
Sn 0.2500 0.1679 0.5370 (multiplicity 4)

Properties
Its formation energy is 50 meV/atom. The total energy is -2.36 eV/atom.


Repeat the first record exactly.
A plane-wave DFT calculation with PBE-GGA was carried out for a relaxed structure of Tl2CdSn.

a b c (Å): 3.4523 3.4523 33.0050
angles (deg): 90.00 90.00 120.00
Space group R3m (No. 160, hexagonal axes)
Inequivalent atoms, fractional coordinates:
Tl 0.0000 0.0000 0.0000 (multiplicity 3)
Tl 0.0000 0.0000 0.1690 (multiplicity 3)
Cd 0.0000 0.0000 0.5845 (multiplicity 3)
Sn 0.0000 0.0000 0.7514 (multiplicity 3)

Properties
The relative energy among the computed polymorphs is 28 meV/atom. Its formation energy is 51 meV/atom. The total energy is -2.36 eV/atom.


> Which formula does entry 5 have?

Tl4CdSn


> What is the formula in the sixth record?

Tl5Cd2Sn2